# Tm4AlNi2

A relaxed Tm4AlNi2 crystal (PBE-GGA, the Alexandria database).

Results
Its formation energy is -277 meV per atom. Its space group is R-3m (166). The value obtained for the total energy is -35.1 eV per cell. Its spin magnetization is 0.00 μB/f.u.

a b c (Å): 4.7358 4.7358 8.7560
angles (deg): 74.31 74.31 60.00
Closest atoms and distances in Å follow each position.
Element x y z (fractional)
Tm1 0.7057 0.7057 0.8828  4 Ni 2.77-2.85
Tm2 0.8838 0.8838 0.3487  3 Ni 2.95, 3 Al 3.01
Tm3 0.2943 0.2943 0.1172  4 Ni 2.77-2.85
Tm4 0.1162 0.1162 0.6513  3 Ni 2.95, 3 Al 3.01
Al1 0.5000 0.5000 0.5000  2 Ni 2.37
Ni1 0.5948 0.5948 0.2155  1 Al 2.37
Ni2 0.4052 0.4052 0.7845  1 Al 2.37